Here is a relaxed PmMnCo2O8 crystal from the Alexandria database. Energies are from PBE+U.

Calculated values
Calculated volume ... 13.2 Å³/atom
N(E_F) ... 0.176 states/eV/atom
Raw total energy ... -6.316 eV/atom

Unit cell a=7.106 b=7.106 c=6.297 alpha=90.00 beta=90.00 gamma=90.00
Space group I-4m2 (No. 119)
Unique sites:
Pm 0.000 0.000 0.000 x2
Mn 0.000 0.500 0.750 x2
Co 0.000 0.000 0.500 x2
Co 0.000 0.500 0.250 x2
O 0.000 0.185 0.677 x8
O 0.000 0.329 0.061 x8